Below is CaPmP2Pd2 after structural relaxation, with properties calculated at the PBE level.

## Properties
- Formation enthalpy at 0 K: -1.15 eV/atom
- Total energy: -5.81 eV per atom

```
data_CaPmP2Pd2
_symmetry_space_group_name_H-M 'P -3 m 1'
_symmetry_Int_Tables_number 164
_symmetry_space_group_name_Hall '-P 3 2"'
_cell_length_a 4.1598
_cell_length_b 4.1598
_cell_length_c 8.0296
_cell_angle_alpha 90.00
_cell_angle_beta 90.00
_cell_angle_gamma 120.00
loop_
_atom_site_label
_atom_site_fract_x
_atom_site_fract_y
_atom_site_fract_z
_atom_site_occupancy
Ca1 0.0000 0.0000 0.0000 1
Pm1 0.0000 0.0000 0.5000 1
P1 0.3333 0.6667 0.2601 1
Pd1 0.3333 0.6667 0.7527 1
```